The following is a GGA-PBEsol calculation of KGdPdO3 after structural relaxation, from Alexandria.

crystal system	monoclinic
total energy	-0.60408	Ry per atom

Cell: 12.947 3.878 7.328 Å, 90.00 104.52 90.00°
Space group C2/m (No. 12)
One atom of each set of equivalent atoms:
K  0.144  0.000  0.064 [4 per cell]
Gd  0.150  0.000  0.577 [4 per cell]
Pd  0.007  0.500  0.277 [4 per cell]
O  0.006  0.000  0.314 [4 per cell]
O  0.153  0.500  0.773 [4 per cell]
O  0.171  0.500  0.367 [4 per cell]

=====

The following is a GGA-PBEsol calculation of Tl2HgSb after structural relaxation, from Alexandria.

crystal system	orthorhombic
total energy	-0.18613	Ry per atom
energy above the most stable polymorph in this dataset	0.0679	eV/atom

Cell: 3.431 5.486 11.373 Å, 90.00 90.00 90.00°
Space group Immm (No. 71)
One atom of each set of equivalent atoms:
Tl  0.000  0.000  0.247 [4 per cell]
Hg  0.000  0.500  0.000 [2 per cell]
Sb  0.000  0.500  0.500 [2 per cell]

=====

The following is a GGA-PBEsol calculation of SiPt3 after structural relaxation, from Alexandria.

crystal system	orthorhombic
total energy	-0.52909	Ry per atom

Cell: 5.554 7.629 5.476 Å, 90.00 90.00 90.00°
Space group Pnma (No. 62)
One atom of each set of equivalent atoms:
Si  0.067  0.250  0.003 [4 per cell]
Pt  0.010  0.750  0.427 [4 per cell]
Pt  0.195  0.541  0.805 [8 per cell]